No. 1
# PBE-GGA Li2Pa4Se9, optimized geometry
data_Li2Pa4Se9
_symmetry_space_group_name_H-M 'C 1 2/c 1'
_symmetry_Int_Tables_number 15
_cell_length_a 12.293
_cell_length_b 7.097
_cell_length_c 19.521
_cell_angle_alpha 90.00
_cell_angle_beta 90.00
_cell_angle_gamma 90.00
loop_
_symmetry_equiv_pos_as_xyz
'x,y,z'
'-x,-y,-z'
'-x,y,-z+1/2'
'x,-y,z+1/2'
'x+1/2,y+1/2,z'
'-x+1/2,-y+1/2,-z'
'-x+1/2,y+1/2,-z+1/2'
'x+1/2,-y+1/2,z+1/2'
loop_
_atom_site_label
_atom_site_fract_x
_atom_site_fract_y
_atom_site_fract_z
Li1 0.000 0.001 0.163
Pa1 0.167 0.500 0.179
Pa2 0.167 0.500 0.488
Se1 0.000 0.314 0.750
Se2 0.013 0.342 0.083
Se3 0.157 0.158 0.250
Se4 0.165 0.190 0.583
Se5 0.177 0.152 0.917
# Calculated density in g/cm³: 6.430
# Energy in eV per atom: -6.16
# Formation energy from raw total energies in eV/f.u.: -19.19



No. 2
# PBE-GGA Pm4Dy7Y, optimized geometry
data_Pm4Dy7Y
_symmetry_space_group_name_H-M 'C 1 2/m 1'
_symmetry_Int_Tables_number 12
_cell_length_a 12.124
_cell_length_b 5.930
_cell_length_c 12.788
_cell_angle_alpha 90.00
_cell_angle_beta 118.21
_cell_angle_gamma 90.00
loop_
_symmetry_equiv_pos_as_xyz
'x,y,z'
'-x,-y,-z'
'-x,y,-z'
'x,-y,z'
'x+1/2,y+1/2,z'
'-x+1/2,-y+1/2,-z'
'-x+1/2,y+1/2,-z'
'x+1/2,-y+1/2,z'
loop_
_atom_site_label
_atom_site_fract_x
_atom_site_fract_y
_atom_site_fract_z
Pm1 0.059 0.000 0.328
Pm2 0.138 0.500 0.777
Dy1 0.000 0.000 0.000
Dy2 0.135 0.500 0.503
Dy3 0.210 0.000 0.923
Dy4 0.249 0.000 0.683
Y1 0.000 0.500 0.000
# Calculated density in g/cm³: 7.405
# Energy in eV per atom: -4.54
# Energy of formation from the pure elements in eV per atom: 0.2704



No. 3
# PBE-GGA Na3ZrAl, optimized geometry
data_Na3ZrAl
_symmetry_space_group_name_H-M 'P m -3 m'
_symmetry_Int_Tables_number 221
_symmetry_space_group_name_Hall '-P 4 2 3'
_cell_length_a 5.517
_cell_length_b 5.517
_cell_length_c 5.517
_cell_angle_alpha 90.00
_cell_angle_beta 90.00
_cell_angle_gamma 90.00
loop_
_atom_site_label
_atom_site_fract_x
_atom_site_fract_y
_atom_site_fract_z
Na1 0.000 0.000 0.500
Zr1 0.500 0.500 0.500
Al1 0.000 0.000 0.000
# Calculated density in g/cm³: 1.851
# Energy in eV per atom: -2.19
# Energy of formation from the pure elements in eV per atom: 1.0614



No. 4
# PBE-GGA Eu2GaF, optimized geometry
data_Eu2GaF
_symmetry_space_group_name_H-M 'P 4/m m m'
_symmetry_Int_Tables_number 123
_symmetry_space_group_name_Hall '-P 4 2'
_cell_length_a 3.376
_cell_length_b 3.376
_cell_length_c 7.930
_cell_angle_alpha 90.00
_cell_angle_beta 90.00
_cell_angle_gamma 90.00
loop_
_atom_site_label
_atom_site_fract_x
_atom_site_fract_y
_atom_site_fract_z
Eu1 0.000 0.000 0.234
Ga1 0.500 0.500 0.500
F1 0.500 0.500 0.000
# Calculated density in g/cm³: 7.213
# Energy in eV per atom: -7.67
# Formation energy from raw total energies in eV/f.u.: -5.23



No. 5
# PBE-GGA CoSb2RuI, optimized geometry
data_CoSb2RuI
_symmetry_space_group_name_H-M 'P 4/m m m'
_symmetry_Int_Tables_number 123
_symmetry_space_group_name_Hall '-P 4 2'
_cell_length_a 5.013
_cell_length_b 5.013
_cell_length_c 5.690
_cell_angle_alpha 90.00
_cell_angle_beta 90.00
_cell_angle_gamma 90.00
loop_
_atom_site_label
_atom_site_fract_x
_atom_site_fract_y
_atom_site_fract_z
Co1 0.000 0.000 0.000
Sb1 0.000 0.500 0.500
Ru1 0.500 0.500 0.500
I1 0.500 0.500 0.000
# Calculated density in g/cm³: 6.160
# Energy in eV per atom: -4.30
# Formation energy from raw total energies in eV/f.u.: 4.70



No. 6
# PBE-GGA Rb2CrI4, optimized geometry
data_Rb2CrI4
_symmetry_space_group_name_H-M 'I 4/m m m'
_symmetry_Int_Tables_number 139
_symmetry_space_group_name_Hall '-I 4 2'
_cell_length_a 5.786
_cell_length_b 5.786
_cell_length_c 18.117
_cell_angle_alpha 90.00
_cell_angle_beta 90.00
_cell_angle_gamma 90.00
loop_
_atom_site_label
_atom_site_fract_x
_atom_site_fract_y
_atom_site_fract_z
Rb1 0.000 0.000 0.138
Cr1 0.000 0.000 0.500
I1 0.000 0.000 0.344
I2 0.000 0.500 0.000
# Calculated density in g/cm³: 4.001
# Energy in eV per atom: -3.51
# Formation energy from raw total energies in eV/f.u.: -6.81



Number 1: magnetization 16.5 Bohr magnetons per cell. Number 2: magnetization 0.4 Bohr magnetons per cell. Number 3: magnetization 2.6 Bohr magnetons per cell. Number 4: magnetization 14.3 Bohr magnetons per cell. Number 5: magnetization 2.0 Bohr magnetons per cell. Number 6: magnetization 8.0 Bohr magnetons per cell.